! PBE+U Tl3Co2F7, optimized geometry; values from VASP
&SYSTEM
  ibrav = 0, nat = 12, ntyp = 3
/
ATOMIC_SPECIES
F 19.00 F.upf
Tl 204.38 Tl.upf
Co 58.93 Co.upf
CELL_PARAMETERS angstrom
4.090 0.000 0.000
0.000 4.260 -0.633
0.000 -0.448 11.644
ATOMIC_POSITIONS angstrom
F 2.045 0.304 2.048
F 0.000 3.214 6.985
F 0.000 0.000 0.000
F 0.000 1.369 9.219
F 0.000 0.598 4.026
F 0.000 2.443 1.792
F 2.045 3.508 8.963
Tl 2.045 1.075 7.242
Tl 2.045 2.737 3.769
Tl 2.045 2.130 -0.316
Co 0.000 0.307 2.066
Co 0.000 3.505 8.945
! energy = -53.6 eV for the cell shown
! DOS at the Fermi energy = 0.000 states/eV/f.u.
! SG = Cmmm (65)